[1]
The following is a PBE with a Hubbard U calculation of a relaxed structure of NaCaMo2O8, from Alexandria.

Cell and atoms, written as POSCAR:
```
NaCaMo2O8
1.0
-3.7488 3.7488 3.3918
3.7488 -3.7488 3.3918
3.7488 3.7488 -3.3918
Na Ca Mo O
1 1 2 8
direct
0.0000 0.0000 0.0000 Na
0.2500 0.7500 0.5000 Ca
0.5000 0.5000 0.0000 Mo
0.7500 0.2500 0.5000 Mo
0.3456 0.1510 0.8053 O
0.3456 0.5403 0.1947 O
0.3977 0.0864 0.3112 O
0.4597 0.6544 0.8053 O
0.7752 0.0864 0.6888 O
0.8490 0.6544 0.1947 O
0.9136 0.2248 0.3112 O
0.9136 0.6023 0.6888 O
```

Calculated values
Total DFT energy (no corrections) (eV/atom): -6.555
Calculated volume (Å³ per cell): 190.7

***

[2]
The following is a PBE with a Hubbard U calculation of a relaxed structure of Na3Ca3MoO8, from Alexandria.

Cell and atoms, written as POSCAR:
```
Na3Ca3MoO8
1.0
3.3759 1.9491 5.5390
-3.3759 1.9491 5.5390
0.0000 -3.8982 5.5390
Na Ca Mo O
3 3 1 8
direct
0.0000 0.5000 0.5000 Na
0.5000 0.0000 0.5000 Na
0.5000 0.5000 0.0000 Na
0.0000 0.0000 0.5000 Ca
0.0000 0.5000 0.0000 Ca
0.5000 0.0000 0.0000 Ca
0.5000 0.5000 0.5000 Mo
0.2403 0.2403 0.2403 O
0.2872 0.7057 0.7057 O
0.2943 0.2943 0.7128 O
0.2943 0.7128 0.2943 O
0.7057 0.2872 0.7057 O
0.7057 0.7057 0.2872 O
0.7128 0.2943 0.2943 O
0.7597 0.7597 0.7597 O
```

Calculated values
Total DFT energy (no corrections) (eV/atom): -5.899
Calculated volume (Å³ per cell): 218.7

***

[3]
The following is a PBE with a Hubbard U calculation of a relaxed structure of Na3Ca2MoO6, from Alexandria.

Cell and atoms, written as POSCAR:
```
Na3Ca2MoO6
1.0
2.8796 -5.0050 0.0000
2.8796 5.0050 0.0000
-1.9287 0.0000 5.4895
Na Ca Mo O
3 2 1 6
direct
0.0000 0.0000 0.0000 Na
0.3343 0.6657 0.0000 Na
0.6657 0.3343 0.0000 Na
0.1697 0.8303 0.5000 Ca
0.8303 0.1697 0.5000 Ca
0.5000 0.5000 0.5000 Mo
0.1300 0.4271 0.2845 O
0.2838 0.2838 0.7001 O
0.4271 0.1300 0.2845 O
0.5729 0.8700 0.7155 O
0.7162 0.7162 0.2999 O
0.8700 0.5729 0.7155 O
```

Calculated values
Total DFT energy (no corrections) (eV/atom): -5.889
Calculated volume (Å³ per cell): 158.2

***

[4]
The following is a PBE with a Hubbard U calculation of a relaxed structure of NaCa2MoO4, from Alexandria.

Cell and atoms, written as POSCAR:
```
NaCa2MoO4
1.0
5.6398 0.0000 0.0000
0.0000 3.3663 0.0000
-1.8606 0.0000 5.4598
Na Ca Mo O
1 2 1 4
direct
0.0000 0.0000 0.0000 Na
0.5000 0.0000 0.5000 Ca
0.5000 0.5000 0.0000 Ca
0.0000 0.5000 0.5000 Mo
0.2293 0.0000 0.7277 O
0.2491 0.5000 0.2692 O
0.7509 0.5000 0.7308 O
0.7707 0.0000 0.2723 O
```

Calculated values
Total DFT energy (no corrections) (eV/atom): -6.286
Calculated volume (Å³ per cell): 103.7